Entry 1:
Material: YReSb2
Method: DFT, PBE-GGA
State: relaxed

Lattice parameters (Å, degrees): 4.941 4.941 4.941 60.00 60.00 60.00
Element x y z (fractional)
Re 0.500 0.500 0.500
Sb 0.250 0.250 0.250
Sb 0.750 0.750 0.750
Y 0.000 0.000 0.000

Output
The calculation puts the density at 10.098 g/cm³. The excess energy over the best structure of this formula in the dataset comes out at 0.109 eV/atom. As for the density of states at the Fermi level: 0.8 states/eV/f.u. The value obtained for the total energy is -6.7937 eV per atom. The calculation puts the formation energy from raw total energies at 0.00 eV per atom.

Entry 2:
Material: YRe4Sb
Method: DFT, PBE-GGA
State: relaxed

Lattice parameters (Å, degrees): 5.377 5.377 5.377 60.00 60.00 60.00
Element x y z (fractional)
Re 0.873 0.376 0.376
Re 0.376 0.376 0.376
Re 0.376 0.376 0.873
Re 0.376 0.873 0.376
Y 0.000 0.000 0.000
Sb 0.750 0.750 0.750

Output
The calculation puts the density at 14.434 g/cm³. As for the density of states at the Fermi level: 6.7 states/eV/f.u. The value obtained for the total energy is -9.8380 eV per atom. The calculation puts the formation energy from raw total energies at 0.23 eV per atom.

Entry 3:
Material: YReSb2
Method: DFT, PBE-GGA
State: relaxed

Lattice parameters (Å, degrees): 6.093 6.093 6.093 147.97 127.10 63.19
Element x y z (fractional)
Sb 0.547 0.547 0.000
Sb 0.953 0.953 0.000
Re 0.750 0.250 0.500
Y 0.250 0.750 0.500

Output
The calculation puts the density at 9.096 g/cm³. The excess energy over the best structure of this formula in the dataset comes out at 0.160 eV/atom. As for the density of states at the Fermi level: 2.7 states/eV/f.u. The value obtained for the total energy is -6.7433 eV per atom. The calculation puts the formation energy from raw total energies at 0.05 eV per atom.